Density functional theory data (PBE-GGA) for an optimized crystal structure of KBiPdF6.

Structure (POSCAR):
```
KBiPdF6
1.0
-5.552 2.864 -2.675
-2.886 -2.893 -4.389
-2.471 -2.170 2.795
K Bi Pd F
1 1 1 6
direct
0.983 0.007 0.833
0.316 0.354 0.395
0.665 0.684 0.515
0.953 0.398 0.352
0.399 0.966 0.706
0.589 0.412 0.676
0.177 0.463 0.853
0.200 0.753 0.332
0.718 0.964 0.339
```

Results
magnetic moment = 0.09 μB/cell



Density functional theory data (PBE-GGA) for an optimized crystal structure of Tm2GeBr.

Structure (POSCAR):
```
Tm2GeBr
1.0
4.084 0.000 0.000
2.042 3.537 0.000
2.042 1.179 7.245
Tm Ge Br
2 1 1
direct
0.067 0.067 0.798
0.267 0.267 0.199
0.669 0.669 0.994
0.497 0.497 0.508
```

Results
magnetic moment = 0.00 μB/cell



Density functional theory data (PBE-GGA) for an optimized crystal structure of Co2AgMo.

Structure (POSCAR):
```
Co2AgMo
1.0
6.131 0.250 0.823
-2.651 3.706 -0.233
0.830 0.746 2.457
Ag Co Mo
1 2 1
direct
0.500 0.500 0.000
0.000 0.000 0.000
0.500 0.000 0.500
0.000 0.500 0.500
```

Results
magnetic moment = 1.76 μB/cell
ΔE to the lowest computed polymorph = 160.2 meV/atom
calculated formation energy = 1.780 eV per formula unit



Density functional theory data (PBE-GGA) for an optimized crystal structure of TmThCoAg.

Structure (POSCAR):
```
TmThCoAg
1.0
5.009 0.000 0.000
2.505 4.338 0.000
2.505 1.446 4.090
Tm Co Ag Th
1 1 1 1
direct
0.500 0.500 0.500
0.750 0.750 0.750
0.250 0.250 0.250
0.000 0.000 0.000
```

Results
magnetic moment = 0.00 μB/cell
calculated formation energy = -0.445 eV per formula unit



Density functional theory data (PBE-GGA) for an optimized crystal structure of NaPr2Tm3Te6.

Structure (POSCAR):
```
NaPr2Tm3Te6
1.0
4.361 0.000 0.000
0.000 8.950 0.225
-2.181 -2.678 9.336
Na Pr Tm Te
1 2 3 6
direct
0.500 0.000 0.000
0.827 0.652 0.655
0.173 0.348 0.345
0.500 0.500 0.000
0.833 0.170 0.665
0.167 0.830 0.335
0.331 0.927 0.662
0.660 0.596 0.320
0.669 0.073 0.338
0.998 0.257 0.995
0.002 0.743 0.005
0.340 0.404 0.680
```

Results
magnetic moment = 0.00 μB/cell



Density functional theory data (PBE-GGA) for an optimized crystal structure of TmSeBr.

Structure (POSCAR):
```
TmSeBr
1.0
-0.491 2.273 3.336
-6.871 -0.033 -0.989
-1.026 -5.828 3.820
Tm Se Br
2 2 2
direct
0.822 0.062 0.851
0.322 0.062 0.351
0.322 0.276 0.660
0.322 0.848 0.041
0.822 0.303 0.174
0.822 0.822 0.527
```

Results
magnetic moment = 0.00 μB/cell



Energy for every record listed, in sequence, given in eV/f.u.: -40.42, -19.06, -26.11, -22.29, -58.93, -14.93.